# 1
## PmNdTeO2 (PBE)

Data for an optimized crystal structure of PmNdTeO2.

Summary:
E above lowest polymorph: 0.39 eV per formula unit
Total DFT energy (no corrections): -36.64 eV per cell
Volume: 20.78 A^3/atom
Symmetry: P3m1 (156)

Unit cell a=4.0286 b=4.0286 c=7.3910 alpha=90.00 beta=90.00 gamma=120.00
Positions (direct):
Nd  0.0000  0.0000  0.3014
O  0.6667  0.3333  0.3806
O  0.0000  0.0000  0.6221
Pm  0.6667  0.3333  0.6977
Te  0.3333  0.6667  0.9982



# 2
## PrNd2O3 (PBE)

Data for an optimized crystal structure of PrNd2O3.

Summary:
Total DFT energy (no corrections): -45.46 eV per cell
Volume: 15.95 A^3/atom
Symmetry: P-3m1 (164)

Unit cell a=3.5592 b=3.5592 c=8.7214 alpha=90.00 beta=90.00 gamma=120.00
Positions (direct):
Nd  0.6667  0.3333  0.3335
Nd  0.3333  0.6667  0.6665
O  0.3333  0.6667  0.1697
O  0.0000  0.0000  0.5000
O  0.6667  0.3333  0.8303
Pr  0.0000  0.0000  0.0000



# 3
## PrNdO2 (PBE)

Data for an optimized crystal structure of PrNdO2.

Summary:
Total DFT energy (no corrections): -30.29 eV per cell
Volume: 16.03 A^3/atom
Symmetry: P4/mmm (123)

Unit cell a=3.5664 b=3.5664 c=5.0425 alpha=90.00 beta=90.00 gamma=90.00
Positions (direct):
Nd  0.0000  0.0000  0.0000
O  0.5000  0.5000  0.0000
O  0.0000  0.0000  0.5000
Pr  0.5000  0.5000  0.5000



# 4
## Pr2NdO4 (PBE)

Data for an optimized crystal structure of Pr2NdO4.

Summary:
Total DFT energy (no corrections): -110.45 eV per cell
Volume: 18.12 A^3/atom
Symmetry: Fd-3m (227)

Unit cell a=7.1047 b=7.1047 c=7.1047 alpha=119.99 beta=90.02 gamma=119.99
Last column: magnetic moment on the atom in μB.
Positions (direct):
Nd  0.0000  0.0000  0.0000  0.04
Nd  0.7500  0.5000  0.2500  0.04
O  0.6193  0.2387  0.3806  0.01
O  0.1418  0.7613  0.3806  0.01
O  0.6194  0.7613  0.3807  0.01
O  0.1306  0.2613  0.3918  0.01
O  0.6194  0.2387  0.8582  0.01
O  0.1306  0.7387  0.8693  0.01
O  0.1307  0.2613  0.8694  0.01
O  0.6082  0.7387  0.8694  0.01
Pr  0.3750  0.7500  0.1250  0.10
Pr  0.8750  0.2500  0.6250  0.07
Pr  0.3750  0.2500  0.6250  0.07
Pr  0.3750  0.7500  0.6250  0.11



# 5
## PrNd3O7 (PBE)

Data for an optimized crystal structure of PrNd3O7.

Summary:
Total DFT energy (no corrections): -85.59 eV per cell
Volume: 15.49 A^3/atom
Symmetry: Amm2 (38)

Unit cell a=8.2185 b=5.9772 c=5.9772 alpha=35.47 beta=90.00 gamma=90.00
Positions (direct):
Nd  0.2599  0.7055  0.7055
Nd  0.7401  0.7055  0.7055
Nd  0.5000  0.9824  0.9824
O  0.2542  0.0789  0.0789
O  0.7458  0.0789  0.0789
O  0.5000  0.3360  0.3360
O  0.0930  0.3422  0.3422
O  0.9070  0.3422  0.3422
O  0.5000  0.6091  0.6091
O  0.0000  0.6223  0.6223
Pr  0.0000  0.9918  0.9918



# 6
## Pr2NdO3 (PBE)

Data for an optimized crystal structure of Pr2NdO3.

Summary:
Total DFT energy (no corrections): -45.42 eV per cell
Volume: 16.12 A^3/atom
Symmetry: P-3m1 (164)

Unit cell a=3.5722 b=3.5722 c=8.7546 alpha=90.00 beta=90.00 gamma=120.00
Positions (direct):
Nd  0.0000  0.0000  0.5000
O  0.0000  0.0000  0.0000
O  0.6667  0.3333  0.3364
O  0.3333  0.6667  0.6636
Pr  0.3333  0.6667  0.1667
Pr  0.6667  0.3333  0.8333



# 7
## PrNd2SbO6 (PBE)

Data for an optimized crystal structure of PrNd2SbO6.

Summary:
Total DFT energy (no corrections): -72.87 eV per cell
Volume: 15.42 A^3/atom
Symmetry: P-1 (2)

Unit cell a=5.3784 b=5.4543 c=6.2675 alpha=106.69 beta=115.13 gamma=95.64
Positions (direct):
Nd  0.2337  0.7341  0.4947
Nd  0.7663  0.2659  0.5053
O  0.8356  0.3555  0.1794
O  0.3831  0.4295  0.2437
O  0.7855  0.8530  0.2446
O  0.2145  0.1470  0.7554
O  0.6169  0.5705  0.7563
O  0.1644  0.6445  0.8206
Pr  0.0000  0.0000  0.0000
Sb  0.5000  0.5000  0.0000



# 8
## PrNdZn2Sb2O2 (PBE)

Data for an optimized crystal structure of PrNdZn2Sb2O2.

Summary:
Total DFT energy (no corrections): -43.44 eV per cell
Volume: 20.98 A^3/atom
Symmetry: P4mm (99)

Unit cell a=4.1885 b=4.1885 c=9.5690 alpha=90.00 beta=90.00 gamma=90.00
Positions (direct):
Nd  0.0000  0.0000  0.1173
O  0.5000  0.0000  0.0013
O  0.0000  0.5000  0.0013
Pr  0.5000  0.5000  0.8806
Sb  0.5000  0.5000  0.3162
Sb  0.0000  0.0000  0.6833
Zn  0.5000  0.0000  0.5000
Zn  0.0000  0.5000  0.5000



Look up the total DFT energy (no corrections) of the sixth one.
-45.42 eV per cell